A plane-wave DFT calculation with PBE was carried out for a geometry-optimized DyErThN3 structure.

- total DFT energy (no corrections) (eV/atom) = -8.31
- formation energy without anion corrections (meV per atom) = -1384
- crystal system = monoclinic

abc: 3.378 6.422 10.003
angles: 92.36 90.00 90.00
Fractional coordinates of all 12 atoms:
1 Dy 0.250 0.206 0.577
2 Dy 0.750 0.794 0.423
3 Er 0.250 0.664 0.105
4 Er 0.750 0.336 0.895
5 Th 0.750 0.825 0.771
6 Th 0.250 0.175 0.229
7 N 0.250 0.836 0.576
8 N 0.750 0.889 0.185
9 N 0.750 0.389 0.121
10 N 0.750 0.164 0.424
11 N 0.250 0.611 0.879
12 N 0.250 0.111 0.815

=====

A plane-wave DFT calculation with PBE was carried out for a geometry-optimized Dy2ErThN4 structure.

- total DFT energy (no corrections) (eV/atom) = -8.50
- formation energy without anion corrections (meV per atom) = -1686
- crystal system = monoclinic

abc: 3.524 6.082 6.083
angles: 109.32 90.00 90.00
Fractional coordinates of all 8 atoms:
1 Dy 0.500 0.000 0.500
2 Dy 0.000 0.500 0.500
3 Er 0.000 0.000 0.000
4 Th 0.500 0.500 0.000
5 N 0.500 0.248 0.248
6 N 0.500 0.752 0.752
7 N 0.000 0.246 0.749
8 N 0.000 0.754 0.251

=====

A plane-wave DFT calculation with PBE was carried out for a geometry-optimized DyErTiN3 structure.

- total DFT energy (no corrections) (eV/atom) = -8.39
- formation energy without anion corrections (meV per atom) = -1388
- crystal system = monoclinic

abc: 3.257 6.466 9.155
angles: 91.99 90.00 90.00
Fractional coordinates of all 12 atoms:
1 Dy 0.750 0.822 0.763
2 Dy 0.250 0.178 0.237
3 Er 0.250 0.656 0.117
4 Er 0.750 0.344 0.883
5 Ti 0.250 0.140 0.574
6 Ti 0.750 0.860 0.426
7 N 0.250 0.816 0.544
8 N 0.750 0.880 0.212
9 N 0.750 0.386 0.129
10 N 0.750 0.184 0.456
11 N 0.250 0.614 0.871
12 N 0.250 0.120 0.788

=====

A plane-wave DFT calculation with PBE was carried out for a geometry-optimized DyEr2TlN structure.

- total DFT energy (no corrections) (eV/atom) = -5.83
- formation energy without anion corrections (meV per atom) = -948
- crystal system = tetragonal

abc: 4.817 4.768 4.768
angles: 90.00 90.00 90.00
Fractional coordinates of all 5 atoms:
1 Dy 0.500 0.000 0.000
2 Er 0.000 0.000 0.500
3 Er 0.000 0.500 0.000
4 Tl 0.500 0.500 0.500
5 N 0.000 0.000 0.000

=====

A plane-wave DFT calculation with PBE was carried out for a geometry-optimized Dy2ErTlN structure.

- total DFT energy (no corrections) (eV/atom) = -5.84
- formation energy without anion corrections (meV per atom) = -944
- crystal system = tetragonal

abc: 4.769 4.820 4.820
angles: 90.00 90.00 90.00
Fractional coordinates of all 5 atoms:
1 Dy 0.000 0.000 0.500
2 Dy 0.000 0.500 0.000
3 Er 0.500 0.000 0.000
4 Tl 0.500 0.500 0.500
5 N 0.000 0.000 0.000

=====

A plane-wave DFT calculation with PBE was carried out for a geometry-optimized DyErTmN3 structure.

- total DFT energy (no corrections) (eV/atom) = -7.96
- formation energy without anion corrections (meV per atom) = -1525
- crystal system = monoclinic

abc: 3.397 5.911 8.897
angles: 101.12 90.00 90.00
Fractional coordinates of all 12 atoms:
1 Dy 0.750 0.659 0.699
2 Dy 0.250 0.341 0.301
3 Er 0.250 0.768 0.045
4 Er 0.750 0.232 0.955
5 Tm 0.250 0.154 0.637
6 Tm 0.750 0.846 0.363
7 N 0.250 0.751 0.500
8 N 0.750 0.036 0.157
9 N 0.750 0.537 0.171
10 N 0.750 0.249 0.500
11 N 0.250 0.463 0.829
12 N 0.250 0.964 0.843

=====

no.,spin magnetization (μB per formula unit)
1,0.4
2,0.0
3,0.0
4,0.0
5,0.0
6,0.0